# 1
The following is a PBE calculation of a relaxed structure of Mg2MoP, from the Alexandria database.

Cell: 3.1833 3.1833 7.0543 Å, 90.00 90.00 90.00°
Atoms (fractional coordinates):
Mg 0.0000 0.0000 0.9576
Mg 0.5000 0.5000 0.2873
Mo 0.0000 0.0000 0.5563
P 0.5000 0.5000 0.6988

* E_tot: -20.22 eV for the cell shown
* calculated density: 4.1 g/cm³

***

# 2
The following is a PBE calculation of a relaxed structure of MgMoP2, from the Alexandria database.

Cell: 4.3903 4.3903 4.3903 Å, 60.00 60.00 60.00°
Each line ends with the local moment (μB).
Atoms (fractional coordinates):
Mg 0.5000 0.5000 0.5000  0.01
Mo 0.7500 0.7500 0.7500  0.23
P 0.0000 0.0000 0.0000  -0.01
P 0.2500 0.2500 0.2500  0.00

* E_tot: -21.22 eV for the cell shown
* calculated density: 5.1 g/cm³

***

# 3
The following is a PBE calculation of a relaxed structure of Mg2MoP, from the Alexandria database.

Cell: 5.0387 5.0387 5.0387 Å, 134.81 134.81 65.83°
Atoms (fractional coordinates):
Mg 0.0000 0.0000 0.0000
Mg 0.2500 0.7500 0.5000
Mo 0.5000 0.5000 0.0000
P 0.7500 0.2500 0.5000

* E_tot: -19.13 eV for the cell shown
* calculated density: 4.6 g/cm³

***

# 4
The following is a PBE calculation of a relaxed structure of MgMoP, from the Alexandria database.

Cell: 4.1225 4.1225 4.1225 Å, 60.00 60.00 60.00°
Atoms (fractional coordinates):
Mg 0.0000 0.0000 0.0000
Mo 0.5000 0.5000 0.5000
P 0.7500 0.7500 0.7500

* E_tot: -17.95 eV for the cell shown
* calculated density: 5.1 g/cm³

***

# 5
The following is a PBE calculation of a relaxed structure of Mg2MoP, from the Alexandria database.

Cell: 7.7754 7.7754 6.0139 Å, 49.73 49.73 90.00°
Atoms (fractional coordinates):
P 0.5000 0.5000 0.0000
P 0.2500 0.7500 0.5000
Mo 0.0000 0.0000 0.0000
Mo 0.7500 0.2500 0.5000
Mg 0.5621 0.1250 0.2500
Mg 0.1879 0.6250 0.2500
Mg 0.3750 0.4379 0.7500
Mg 0.8750 0.8121 0.7500

* E_tot: -36.40 eV for the cell shown
* calculated density: 4.0 g/cm³

***

# 6
The following is a PBE calculation of a relaxed structure of MgMoP2S, from the Alexandria database.

Cell: 4.6772 4.6772 4.7118 Å, 90.00 90.00 90.00°
Each line ends with the local moment (μB).
Atoms (fractional coordinates):
Mg 0.0000 0.0000 0.0000  0.01
P 0.0000 0.5000 0.0000  -0.13
P 0.5000 0.0000 0.0000  -0.13
Mo 0.5000 0.5000 0.5000  3.14
S 0.0000 0.0000 0.5000  -0.14

* E_tot: -21.73 eV for the cell shown
* calculated density: 3.5 g/cm³

***

# 7
The following is a PBE calculation of a relaxed structure of MgMoP2S, from the Alexandria database.

Cell: 4.6890 4.6890 4.7990 Å, 90.00 90.00 90.00°
Atoms (fractional coordinates):
Mg 0.5000 0.5000 0.5000
P 0.0000 0.5000 0.0000
P 0.5000 0.0000 0.0000
Mo 0.0000 0.0000 0.0000
S 0.0000 0.0000 0.5000

* E_tot: -26.35 eV for the cell shown
* calculated density: 3.4 g/cm³

***

# 8
The following is a PBE calculation of a relaxed structure of MgTiMoP2, from the Alexandria database.

Cell: 4.5481 4.5412 4.5481 Å, 90.00 90.00 90.00°
Each line ends with the local moment (μB).
Atoms (fractional coordinates):
P 0.0000 0.0000 0.5000  -0.03
P 0.5000 0.0000 0.0000  -0.01
Mo 0.5000 0.5000 0.5000  0.18
Mg 0.0000 0.0000 0.0000  0.04
Ti 0.0000 0.5000 0.0000  0.89

* E_tot: -23.76 eV for the cell shown
* calculated density: 4.1 g/cm³

***

# 9
The following is a PBE calculation of a relaxed structure of MgV2MoP, from the Alexandria database.

Cell: 4.3459 4.4999 4.3459 Å, 90.00 90.00 90.00°
Atoms (fractional coordinates):
P 0.0000 0.0000 0.0000
Mo 0.5000 0.5000 0.5000
Mg 0.0000 0.5000 0.0000
V 0.0000 0.0000 0.5000
V 0.5000 0.0000 0.0000

* E_tot: -32.90 eV for the cell shown
* calculated density: 4.9 g/cm³

***

# 10
The following is a PBE calculation of a relaxed structure of MgPaMo, from the Alexandria database.

Cell: 4.4279 4.4279 8.5330 Å, 74.96 74.96 60.00°
Atoms (fractional coordinates):
Pa 0.6161 0.6161 0.1516
Pa 0.3839 0.3839 0.8484
Mo 0.2602 0.2602 0.2193
Mo 0.7398 0.7398 0.7807
Mg 0.8637 0.8637 0.4090
Mg 0.1363 0.1363 0.5910

* E_tot: -41.64 eV for the cell shown
* calculated density: 8.4 g/cm³

***

# 11
The following is a PBE calculation of a relaxed structure of MgScPaMo, from the Alexandria database.

Cell: 4.9290 4.9290 4.9290 Å, 60.00 60.00 60.00°
Atoms (fractional coordinates):
Sc 0.0000 0.0000 0.0000
Mo 0.2500 0.2500 0.2500
Pa 0.5000 0.5000 0.5000
Mg 0.7500 0.7500 0.7500

* E_tot: -27.48 eV for the cell shown
* calculated density: 7.8 g/cm³

***

# 12
The following is a PBE calculation of a relaxed structure of MgPaTcMo, from the Alexandria database.

Cell: 4.6620 4.6620 4.6620 Å, 60.00 60.00 60.00°
Atoms (fractional coordinates):
Mg 0.2500 0.2500 0.2500
Mo 0.0000 0.0000 0.0000
Pa 0.7500 0.7500 0.7500
Tc 0.5000 0.5000 0.5000

* E_tot: -32.00 eV for the cell shown
* calculated density: 10.4 g/cm³

***

# 13
The following is a PBE calculation of a relaxed structure of Mg3MoPb, from the Alexandria database.

Cell: 5.3702 5.3702 5.3702 Å, 90.00 90.00 90.00°
Each line ends with the local moment (μB).
Atoms (fractional coordinates):
Pb 0.0000 0.0000 0.0000  0.04
Mo 0.5000 0.5000 0.5000  3.57
Mg 0.0000 0.5000 0.0000  -0.01
Mg 0.0000 0.0000 0.5000  -0.03
Mg 0.5000 0.0000 0.0000  -0.01

* E_tot: -13.40 eV for the cell shown
* calculated density: 4.0 g/cm³

***

# 14
The following is a PBE calculation of a relaxed structure of Mg2Mo2Pb, from the Alexandria database.

Cell: 7.2329 7.2329 3.5416 Å, 90.00 90.00 90.00°
Each line ends with the local moment (μB).
Atoms (fractional coordinates):
Pb 0.0000 0.0000 0.0000  -0.03
Pb 0.5000 0.5000 0.0000  -0.03
Mo 0.1732 0.6732 0.5000  0.65
Mo 0.6732 0.8268 0.5000  0.67
Mo 0.8268 0.3268 0.5000  0.64
Mo 0.3268 0.1732 0.5000  0.67
Mg 0.3747 0.8747 0.0000  0.00
Mg 0.8747 0.6253 0.0000  0.00
Mg 0.6253 0.1253 0.0000  0.00
Mg 0.1253 0.3747 0.0000  0.00

* E_tot: -48.60 eV for the cell shown
* calculated density: 8.0 g/cm³

***

# 15
The following is a PBE calculation of a relaxed structure of Mg2Mo2Pb, from the Alexandria database.

Cell: 3.5254 3.5254 9.6951 Å, 79.52 79.52 90.00°
Atoms (fractional coordinates):
Pb 0.0000 0.0000 0.0000
Mo 0.7500 0.2500 0.5000
Mo 0.2500 0.7500 0.5000
Mg 0.3814 0.3814 0.2372
Mg 0.6186 0.6186 0.7628

* E_tot: -26.12 eV for the cell shown
* calculated density: 6.4 g/cm³